Record 1
Computed, not measured: a PBEsol-optimized structure of CsHS2 at the SCAN level of DFT.

Values from the calculation:
**Energy above the lowest structure with this stoichiometry**: 1.020 eV per formula unit
**E**: -14.90 eV/atom

Cell lengths 4.1623, 4.1623, 17.7902 Å; angles 90.00, 90.00, 120.00 degrees
Space group R-3m (No. 166, hexagonal axes)
Inequivalent atoms, fractional coordinates:
Cs (0.0000, 0.0000, 0.0000) [3 per cell]
H (0.0000, 0.0000, 0.5000) [3 per cell]
S (0.0000, 0.0000, 0.1785) [6 per cell]

***

Record 2
Computed, not measured: a PBEsol-optimized structure of CaSiAu2 at the SCAN level of DFT.

Values from the calculation:
**Raw formation energy**: -0.361 eV per atom
**E**: -39.86 eV/atom

Cell lengths 3.3951, 3.3951, 6.6705 Å; angles 90.00, 90.00, 90.00 degrees
Space group P4/mmm (No. 123)
Inequivalent atoms, fractional coordinates:
Ca (0.0000, 0.0000, 0.0000) [1 per cell]
Si (0.0000, 0.0000, 0.5000) [1 per cell]
Au (0.5000, 0.5000, 0.2873) [2 per cell]